(1)
Below is crystalline CsLiMn2Cl8 at its relaxed geometry, with properties calculated at the GGA-PBE level.

Cell lengths 6.653, 6.653, 9.450 Å; angles 90.00, 90.00, 120.00 degrees
Positions (direct):
Cl 0.667 0.333 0.038
Cl 0.673 0.701 0.665
Cl 0.327 0.299 0.335
Cl 0.028 0.327 0.665
Mn 0.333 0.667 0.728
Li 0.000 0.000 0.500
Cl 0.299 0.972 0.665
Cs 0.000 0.000 0.000
Cl 0.333 0.667 0.962
Cl 0.972 0.673 0.335
Mn 0.667 0.333 0.272
Cl 0.701 0.028 0.335

Results
Space-group type: P-3, No. 147
N(E_F) (states/eV per atom): 1.289
Energy (eV/atom): -4.21
Formation energy without anion corrections (meV/atom): -1217



(2)
Below is crystalline KBeCd at its relaxed geometry, with properties calculated at the GGA-PBE level.

Cell lengths 4.934, 4.223, 8.726 Å; angles 90.00, 95.28, 90.00 degrees
Positions (direct):
Cd 0.648 0.750 0.088
Cd 0.352 0.250 0.912
Be 0.113 0.750 0.010
K 0.223 0.250 0.321
K 0.777 0.750 0.679
Be 0.887 0.250 0.990

Results
Space-group type: P2_1/m, No. 11
N(E_F) (states/eV per atom): 0.440
Energy (eV/atom): -1.65
Distance to the lowest polymorph of the same formula (meV/atom): 0
Formation enthalpy at 0 K (eV per formula unit): 0.774



(3)
Below is crystalline RbAsO3 at its relaxed geometry, with properties calculated at the GGA-PBE level.

Cell lengths 7.249, 7.249, 7.249 Å; angles 60.00, 60.00, 60.00 degrees
Positions (direct):
Rb 0.625 0.625 0.625
O 0.060 0.440 0.440
As 0.625 0.125 0.125
O 0.190 0.810 0.190
Rb 0.625 0.625 0.125
O 0.440 0.440 0.060
Rb 0.125 0.625 0.625
As 0.125 0.125 0.625
O 0.190 0.810 0.810
As 0.125 0.125 0.125
O 0.810 0.190 0.190
O 0.810 0.810 0.190
O 0.440 0.060 0.440
O 0.810 0.190 0.810
O 0.060 0.060 0.440
O 0.190 0.190 0.810
Rb 0.625 0.125 0.625
O 0.060 0.440 0.060
As 0.125 0.625 0.125
O 0.440 0.060 0.060

Results
Space-group type: Fd-3m, No. 227
N(E_F) (states/eV per atom): 0.715
Energy (eV/atom): -5.24
Formation energy without anion corrections (meV/atom): -1139



Question: The highest N(E_F) belongs to which entry?
Answer: CsLiMn2Cl8